Pr6TeIr2Br3 | GGA-PBE | relaxed

Cell lengths 7.5526, 7.5526, 8.0454 Å; angles 99.09, 99.09, 119.86 degrees
Closest atoms and distances in Å follow each position.
Fractional coordinates of all 12 atoms:
Br1 0.8409 0.1591 0.5000  6 Pr 3.23-3.51
Br2 0.5000 0.5000 0.5000  6 Pr 3.20-3.48
Br3 0.1591 0.8409 0.5000  6 Pr 3.23-3.51
Ir1 0.3327 0.6673 0.0000  6 Pr 2.86
Ir2 0.6673 0.3327 0.0000  6 Pr 2.86
Pr1 0.6991 0.6991 0.2038  2 Ir 2.86, 1 Br 3.20, 1 Te 3.20
Pr2 0.5607 0.9303 0.7946  2 Ir 2.86
Pr3 0.3009 0.3009 0.7962  2 Ir 2.86, 1 Br 3.20, 1 Te 3.20
Pr4 0.0697 0.4393 0.2054  2 Ir 2.86
Pr5 0.4393 0.0697 0.2054  2 Ir 2.86
Pr6 0.9303 0.5607 0.7946  2 Ir 2.86
Te1 0.0000 0.0000 0.0000  6 Pr 3.20

Output
Symmetry: C2/m (12)
M_tot in μB per cell: 0.00
Theoretical density in g/cm3: 7.02
N(E_F) in states/eV/atom: 0.6190
VASP energy in eV/atom: -5.709